Record 1
# Fe3C | Alexandria via LeMat-Bulk | GGA-PBE | relaxed
# energy relative to the elements	0.62	eV per formula unit
# final energy	-271.952	eV for the cell shown
data_Fe3C
_space_group_name_H-M_alt 'I -4 2 m'
_space_group_IT_number 121
_space_group_name_Hall 'I -4 2'
_cell_length_a 8.446
_cell_length_b 8.446
_cell_length_c 4.213
_cell_angle_alpha 90.00
_cell_angle_beta 90.00
_cell_angle_gamma 90.00
loop_
_atom_site_label
_atom_site_type_symbol
_atom_site_fract_x
_atom_site_fract_y
_atom_site_fract_z
Fe1 Fe 0.000 0.359 0.000
Fe2 Fe 0.097 0.097 0.238
Fe3 Fe 0.197 0.197 0.702
C1 C 0.000 0.290 0.500

=====

Record 2
# Tl2FeAs | Alexandria via LeMat-Bulk | GGA-PBE | relaxed
# energy relative to the elements	2.45	eV per formula unit
# final energy	-15.394	eV for the cell shown
# energy above the lowest structure with this stoichiometry	455	meV per atom
data_Tl2FeAs
_space_group_name_H-M_alt 'P 4/m m m'
_space_group_IT_number 123
_space_group_name_Hall '-P 4 2'
_cell_length_a 3.824
_cell_length_b 3.824
_cell_length_c 6.039
_cell_angle_alpha 90.00
_cell_angle_beta 90.00
_cell_angle_gamma 90.00
loop_
_atom_site_label
_atom_site_type_symbol
_atom_site_fract_x
_atom_site_fract_y
_atom_site_fract_z
Tl1 Tl 0.000 0.000 0.245
Fe1 Fe 0.500 0.500 0.000
As1 As 0.500 0.500 0.500

=====

Record 3
# SbIBr | Alexandria via LeMat-Bulk | GGA-PBE | relaxed
# ΔE_f (raw)	-0.110	eV per atom
# final energy	-7.675	eV for the cell shown
# energy above the lowest structure with this stoichiometry	240	meV per atom
data_SbIBr
_space_group_name_H-M_alt 'P 3 m 1'
_space_group_IT_number 156
_cell_length_a 4.7268
_cell_length_b 4.7268
_cell_length_c 6.4778
_cell_angle_alpha 90.00
_cell_angle_beta 90.00
_cell_angle_gamma 120.00
loop_
_space_group_symop_operation_xyz
'x,y,z'
'-y,x-y,z'
'-x+y,-x,z'
'-y,-x,z'
'-x+y,y,z'
'x,x-y,z'
loop_
_atom_site_label
_atom_site_type_symbol
_atom_site_fract_x
_atom_site_fract_y
_atom_site_fract_z
Sb1 Sb 0.0000 0.0000 0.0000
I1 I 0.6667 0.3333 0.2472
Br1 Br 0.3333 0.6667 0.8031

=====

Record 4
# PmPr2Nd6Y | Alexandria via LeMat-Bulk | GGA-PBE | relaxed
# energy relative to the elements	1.08	eV per formula unit
# final energy	-193.196	eV for the cell shown
data_PmPr2Nd6Y
_space_group_name_H-M_alt 'C 1 2/c 1'
_space_group_IT_number 15
_cell_length_a 9.267
_cell_length_b 15.495
_cell_length_c 9.981
_cell_angle_alpha 90.00
_cell_angle_beta 98.80
_cell_angle_gamma 90.00
loop_
_space_group_symop_operation_xyz
'x,y,z'
'-x,-y,-z'
'-x,y,-z+1/2'
'x,-y,z+1/2'
'x+1/2,y+1/2,z'
'-x+1/2,-y+1/2,-z'
'-x+1/2,y+1/2,-z+1/2'
'x+1/2,-y+1/2,z+1/2'
loop_
_atom_site_label
_atom_site_type_symbol
_atom_site_fract_x
_atom_site_fract_y
_atom_site_fract_z
Pm1 Pm 0.000 0.019 0.250
Pr1 Pr 0.245 0.050 0.542
Nd1 Nd 0.066 0.186 0.945
Nd2 Nd 0.101 0.395 0.120
Nd3 Nd 0.205 0.222 0.313
Y1 Y 0.000 0.408 0.750